A plane-wave DFT calculation with PBEsol was carried out for an optimized crystal structure of ZrInSe.

Geometry as CIF:
```
data_ZrInSe
_space_group_name_H-M_alt 'P 1'
_space_group_IT_number 1
_cell_length_a 4.6259
_cell_length_b 4.6259
_cell_length_c 4.6259
_cell_angle_alpha 60.00
_cell_angle_beta 60.00
_cell_angle_gamma 60.00
loop_
_space_group_symop_operation_xyz
'x,y,z'
loop_
_atom_site_label
_atom_site_type_symbol
_atom_site_fract_x
_atom_site_fract_y
_atom_site_fract_z
Se1 Se 0.2500 0.2500 0.2500
Zr1 Zr 0.0000 0.0000 0.0000
In1 In 0.5000 0.5000 0.5000
```

Properties
DOS at the Fermi energy: 2.436 states/eV per cell
raw formation energy: -164 meV/atom
calculated total energy: -5.47 eV/atom
polymorph energy (0 for the lowest one): 0.610 eV/atom

***

A plane-wave DFT calculation with PBEsol was carried out for an optimized crystal structure of La5Mg.

Geometry as CIF:
```
data_La5Mg
_space_group_name_H-M_alt 'P 1'
_space_group_IT_number 1
_cell_length_a 3.6539
_cell_length_b 5.8582
_cell_length_c 9.2944
_cell_angle_alpha 90.00
_cell_angle_beta 101.34
_cell_angle_gamma 90.00
loop_
_space_group_symop_operation_xyz
'x,y,z'
loop_
_atom_site_label
_atom_site_type_symbol
_atom_site_fract_x
_atom_site_fract_y
_atom_site_fract_z
La1 La 0.6564 0.0000 0.3128
La2 La 0.7814 0.5000 0.5628
La3 La 0.3229 0.0000 0.6457
La4 La 0.4583 0.5000 0.9167
La5 La 0.9972 0.0000 0.9945
Mg1 Mg 0.1171 0.5000 0.2342
```

Properties
DOS at the Fermi energy: 8.906 states/eV per cell
ΔE_f: 0.07 eV per formula unit
calculated total energy: -4.73 eV/atom
polymorph energy (0 for the lowest one): 0.035 eV/atom

***

A plane-wave DFT calculation with PBEsol was carried out for an optimized crystal structure of Zr6Co16Ge7.

Geometry as CIF:
```
data_Zr6Co16Ge7
_space_group_name_H-M_alt 'P 1'
_space_group_IT_number 1
_cell_length_a 8.0723
_cell_length_b 8.0723
_cell_length_c 8.0723
_cell_angle_alpha 60.00
_cell_angle_beta 60.00
_cell_angle_gamma 60.00
loop_
_space_group_symop_operation_xyz
'x,y,z'
loop_
_atom_site_label
_atom_site_type_symbol
_atom_site_fract_x
_atom_site_fract_y
_atom_site_fract_z
Zr1 Zr 0.2938 0.7062 0.2938
Zr2 Zr 0.7062 0.2938 0.7062
Zr3 Zr 0.7062 0.7062 0.2938
Zr4 Zr 0.2938 0.7062 0.7062
Zr5 Zr 0.2938 0.2938 0.7062
Zr6 Zr 0.7062 0.2938 0.2938
Co1 Co 0.3292 0.3292 0.3292
Co2 Co 0.3628 0.8791 0.8791
Co3 Co 0.1209 0.6372 0.1209
Co4 Co 0.3292 0.3292 0.0123
Co5 Co 0.0123 0.3292 0.3292
Co6 Co 0.6708 0.9877 0.6708
Co7 Co 0.1209 0.1209 0.6372
Co8 Co 0.9877 0.6708 0.6708
Co9 Co 0.6708 0.6708 0.6708
Co10 Co 0.8791 0.8791 0.3628
Co11 Co 0.3292 0.0123 0.3292
Co12 Co 0.6708 0.6708 0.9877
Co13 Co 0.6372 0.1209 0.1209
Co14 Co 0.1209 0.1209 0.1209
Co15 Co 0.8791 0.8791 0.8791
Co16 Co 0.8791 0.3628 0.8791
Ge1 Ge 0.0000 0.0000 0.5000
Ge2 Ge 0.0000 0.5000 0.0000
Ge3 Ge 0.0000 0.0000 0.0000
Ge4 Ge 0.5000 0.0000 0.5000
Ge5 Ge 0.5000 0.5000 0.0000
Ge6 Ge 0.5000 0.0000 0.0000
Ge7 Ge 0.0000 0.5000 0.5000
```

Properties
DOS at the Fermi energy: 30.678 states/eV per cell
ΔE_f: -15.81 eV per formula unit
calculated total energy: -7.89 eV/atom

***

A plane-wave DFT calculation with PBEsol was carried out for an optimized crystal structure of YMoPb2.

Geometry as CIF:
```
data_YMoPb2
_space_group_name_H-M_alt 'P 1'
_space_group_IT_number 1
_cell_length_a 4.9972
_cell_length_b 4.9972
_cell_length_c 4.9972
_cell_angle_alpha 60.00
_cell_angle_beta 60.00
_cell_angle_gamma 60.00
loop_
_space_group_symop_operation_xyz
'x,y,z'
loop_
_atom_site_label
_atom_site_type_symbol
_atom_site_fract_x
_atom_site_fract_y
_atom_site_fract_z
Mo1 Mo 0.0000 0.0000 0.0000
Y1 Y 0.5000 0.5000 0.5000
Pb1 Pb 0.2500 0.2500 0.2500
Pb2 Pb 0.7500 0.7500 0.7500
```

Properties
DOS at the Fermi energy: 5.012 states/eV per cell
ΔE_f: 0.80 eV per formula unit
calculated total energy: -6.45 eV/atom
polymorph energy (0 for the lowest one): 0.036 eV/atom

***

A plane-wave DFT calculation with PBEsol was carried out for an optimized crystal structure of LiFeMoPt2.

Geometry as CIF:
```
data_LiFeMoPt2
_space_group_name_H-M_alt 'P 1'
_space_group_IT_number 1
_cell_length_a 4.1985
_cell_length_b 4.6456
_cell_length_c 4.6456
_cell_angle_alpha 90.00
_cell_angle_beta 90.00
_cell_angle_gamma 90.00
loop_
_space_group_symop_operation_xyz
'x,y,z'
loop_
_atom_site_label
_atom_site_type_symbol
_atom_site_fract_x
_atom_site_fract_y
_atom_site_fract_z
Mo1 Mo 0.5000 0.0000 0.0000
Pt1 Pt 0.0000 0.5000 0.0000
Pt2 Pt 0.0000 0.0000 0.5000
Li1 Li 0.5000 0.5000 0.5000
Fe1 Fe 0.0000 0.0000 0.0000
```

Properties
DOS at the Fermi energy: 3.302 states/eV per cell
ΔE_f: 4.27 eV per formula unit
calculated total energy: -6.47 eV/atom

***

A plane-wave DFT calculation with PBEsol was carried out for an optimized crystal structure of CrNi2Pt.

Geometry as CIF:
```
data_CrNi2Pt
_space_group_name_H-M_alt 'P 1'
_space_group_IT_number 1
_cell_length_a 3.5927
_cell_length_b 3.5927
_cell_length_c 4.4519
_cell_angle_alpha 113.80
_cell_angle_beta 113.80
_cell_angle_gamma 90.00
loop_
_space_group_symop_operation_xyz
'x,y,z'
loop_
_atom_site_label
_atom_site_type_symbol
_atom_site_fract_x
_atom_site_fract_y
_atom_site_fract_z
Ni1 Ni 0.7500 0.2500 0.5000
Ni2 Ni 0.0000 0.0000 0.0000
Pt1 Pt 0.5000 0.5000 0.0000
Cr1 Cr 0.2500 0.7500 0.5000
```

Properties
DOS at the Fermi energy: 3.655 states/eV per cell
ΔE_f: -0.55 eV per formula unit
calculated total energy: -7.52 eV/atom

***

One value per record, in order, for spin magnetization: 0.0 0.0 0.0 0.0 2.6 1.4 μB per formula unit.